Below is Te2PtIBr after structural relaxation, with properties calculated at the PBE level.

## Properties
Formation energy from raw total energies, meV/atom: 308
Symmetry: P4/mmm
E_tot, eV/atom: -2.801

a b c (Å): 5.342 5.342 5.518
angles (deg): 90.00 90.00 90.00
Fractional coordinates of all 5 atoms:
Te 0.000 0.500 0.000
Te 0.500 0.000 0.000
Pt 0.000 0.000 0.000
I 0.000 0.000 0.500
Br 0.500 0.500 0.500


Below is TlPtI2Br after structural relaxation, with properties calculated at the PBE level.

## Properties
Formation energy from raw total energies, meV/atom: -272
Symmetry: P4/mmm
E_tot, eV/atom: -2.908

a b c (Å): 5.576 5.576 5.258
angles (deg): 90.00 90.00 90.00
Fractional coordinates of all 5 atoms:
Tl 0.000 0.000 0.000
Pt 0.500 0.500 0.500
I 0.000 0.500 0.500
I 0.500 0.000 0.500
Br 0.500 0.500 0.000


Below is TlPtIBr2 after structural relaxation, with properties calculated at the PBE level.

## Properties
Formation energy from raw total energies, meV/atom: -319
Symmetry: P4/mmm
E_tot, eV/atom: -2.980

a b c (Å): 5.262 5.262 5.549
angles (deg): 90.00 90.00 90.00
Fractional coordinates of all 5 atoms:
Tl 0.000 0.000 0.000
Pt 0.500 0.500 0.500
I 0.500 0.500 0.000
Br 0.000 0.500 0.500
Br 0.500 0.000 0.500


Below is PuIBr after structural relaxation, with properties calculated at the PBE level.

## Properties
Formation energy from raw total energies, meV/atom: -1252
Symmetry: Cm
E_tot, eV/atom: -7.103

a b c (Å): 4.249 4.249 15.819
angles (deg): 100.63 100.63 60.05
Fractional coordinates of all 6 atoms:
Pu 0.000 0.000 0.000
Pu 0.748 0.748 0.458
I 0.473 0.473 0.587
I 0.607 0.607 0.871
Br 0.031 0.031 0.349
Br 0.383 0.383 0.109